First-principles (SCAN) data for TlTeRh2W at its PBEsol-relaxed geometry, as listed in the Alexandria database.

The structure belongs to space group P4/mmm (No. 123); the cell edges are 4.741, 4.741 and 5.392 Å and the angles 90.00°, 90.00° and 90.00°. The distinct sites, in fractional coordinates, are Tl at (0.000, 0.000, 0.000), Te at (0.000, 0.000, 0.500), Rh at (0.000, 0.500, 0.500) and W at (0.500, 0.500, 0.000).

The energy relative to the elements, uncorrected is 1.842 eV per atom. As for the total magnetic moment: 3.411 μB/cell.